Entry 1:
SiAg2W | PBE-GGA | optimized geometry

abc: 3.7098 3.7098 9.5675
angles: 90.00 90.00 90.00
With the nearest neighbours (Å) after each atom.
Space group I4/mmm (No. 139)
Symmetry-distinct sites (fractional):
Si 0.0000 0.0000 0.0000 (multiplicity 2)  4 W 2.62
Ag 0.0000 0.5000 0.2500 (multiplicity 4)  4 Ag 2.62
W 0.0000 0.0000 0.5000 (multiplicity 2)  4 Si 2.62

Computed properties:
The calculation puts the uncorrected formation energy at 582 meV per atom. For the electronic total energy, the calculation gives -43.50 eV for the cell shown. As for the size of the total moment: 0.000 μB/atom. The density of states at the Fermi level is 6.188 states/eV/cell. For the calculated volume, the calculation gives 131.7 Å³/cell.

***

Entry 2:
SiAg2W | PBE-GGA | optimized geometry

abc: 3.2691 4.5075 8.9291
angles: 90.00 90.00 90.00
With the nearest neighbours (Å) after each atom.
Space group Cmm2 (No. 35)
Symmetry-distinct sites (fractional):
Si 0.0000 0.0000 0.0000 (multiplicity 2)  2 W 2.54, 2 Ag 2.76, 4 Si 2.78
Ag 0.0000 0.0000 0.4824 (multiplicity 2)  6 Ag 2.78-2.90, 2 W 2.87
Ag 0.0000 0.5000 0.7506 (multiplicity 2)  2 Si 2.76, 6 Ag 2.78-2.90
W 0.0000 0.5000 0.2178 (multiplicity 2)  2 Si 2.54, 4 W 2.78

Computed properties:
The calculation puts the uncorrected formation energy at 285 meV per atom. For the electronic total energy, the calculation gives -45.88 eV for the cell shown. As for the size of the total moment: 0.000 μB/atom. The density of states at the Fermi level is 2.343 states/eV/cell. For the calculated volume, the calculation gives 131.6 Å³/cell.

***

Entry 3:
SiAgW2 | PBE-GGA | optimized geometry

abc: 3.3176 4.3151 4.3848
angles: 90.00 90.00 90.00
With the nearest neighbours (Å) after each atom.
Space group Pmmm (No. 47)
Symmetry-distinct sites (fractional):
Si 0.0000 0.0000 0.0000 (multiplicity 1)  4 Ag 2.72, 4 W 2.75
Ag 0.5000 0.5000 0.0000 (multiplicity 1)  4 Si 2.72, 4 W 2.75
W 0.0000 0.5000 0.5000 (multiplicity 1)  4 W 2.72, 4 Ag 2.75
W 0.5000 0.0000 0.5000 (multiplicity 1)  4 W 2.72, 4 Si 2.75

Computed properties:
The calculation puts the uncorrected formation energy at 528 meV per atom. For the electronic total energy, the calculation gives -32.07 eV for the cell shown. As for the size of the total moment: 0.000 μB/atom. The density of states at the Fermi level is 2.120 states/eV/cell. For the calculated volume, the calculation gives 62.8 Å³/cell.

***

Entry 4:
SiAg2W | PBE-GGA | optimized geometry

abc: 5.3299 10.2513 2.7423
angles: 90.00 118.65 90.00
With the nearest neighbours (Å) after each atom.
Space group C2/m (No. 12)
Symmetry-distinct sites (fractional):
Si 0.0000 0.0000 0.0000 (multiplicity 2)  4 W 2.66-2.76, 2 Si 2.74, 4 Ag 2.91
Ag 0.2500 0.2500 0.5000 (multiplicity 4)  6 Ag 2.66-2.76, 2 W 2.91, 2 Si 2.91
W 0.0000 0.5000 0.0000 (multiplicity 2)  4 Si 2.66-2.76, 2 W 2.74, 4 Ag 2.91

Computed properties:
The calculation puts the uncorrected formation energy at 386 meV per atom. For the electronic total energy, the calculation gives -45.07 eV for the cell shown. As for the size of the total moment: 0.000 μB/atom. The density of states at the Fermi level is 3.248 states/eV/cell. For the calculated volume, the calculation gives 131.5 Å³/cell.

***

Entry 5:
SiAgW2 | PBE-GGA | optimized geometry

abc: 2.8147 2.8147 27.6134
angles: 90.00 90.00 120.00
With the nearest neighbours (Å) after each atom.
Space group R-3m (No. 166, hexagonal axes)
Symmetry-distinct sites (fractional):
Si 0.0000 0.0000 0.0000 (multiplicity 3)  6 W 2.68, 6 Si 2.81
Ag 0.0000 0.0000 0.5000 (multiplicity 3)  6 Ag 2.81, 6 W 2.96
W 0.0000 0.0000 0.2563 (multiplicity 6)  3 Si 2.68, 6 W 2.81, 3 Ag 2.96

Computed properties:
The calculation puts the uncorrected formation energy at 388 meV per atom. For the electronic total energy, the calculation gives -97.88 eV for the cell shown. As for the size of the total moment: 0.000 μB/atom. The density of states at the Fermi level is 4.356 states/eV/cell. For the calculated volume, the calculation gives 189.5 Å³/cell.

***

Entry 6:
SiAgW2 | PBE-GGA | optimized geometry

abc: 4.0136 4.0136 7.7566
angles: 90.00 90.00 90.00
With the nearest neighbours (Å) after each atom.
Space group I-4m2 (No. 119)
Symmetry-distinct sites (fractional):
Si 0.0000 0.0000 0.0000 (multiplicity 2)  8 W 2.79-2.84, 4 Ag 2.79
Ag 0.0000 0.5000 0.2500 (multiplicity 2)  8 W 2.79-2.84, 4 Si 2.79
W 0.0000 0.0000 0.5000 (multiplicity 2)  4 W 2.79, 4 Ag 2.79, 4 Si 2.84
W 0.0000 0.5000 0.7500 (multiplicity 2)  4 W 2.79, 4 Si 2.79, 4 Ag 2.84

Computed properties:
The calculation puts the uncorrected formation energy at 501 meV per atom. For the electronic total energy, the calculation gives -64.35 eV for the cell shown. As for the size of the total moment: 0.000 μB/atom. The density of states at the Fermi level is 5.552 states/eV/cell. For the calculated volume, the calculation gives 125.0 Å³/cell.

***

Entry 7:
SiAgW2 | PBE-GGA | optimized geometry

abc: 5.4499 8.6522 2.7290
angles: 90.00 103.91 90.00
With the nearest neighbours (Å) after each atom.
Space group C2/m (No. 12)
Symmetry-distinct sites (fractional):
Si 0.0000 0.0000 0.0000 (multiplicity 2)  2 Ag 2.72, 2 Si 2.73, 8 W 2.74-3.05
Ag 0.0000 0.5000 0.0000 (multiplicity 2)  2 Si 2.72, 2 Ag 2.73, 8 W 2.74-3.05
W 0.2500 0.2500 0.5000 (multiplicity 4)  4 W 2.72-2.73, 4 Si 2.74-3.05, 4 Ag 2.74-3.05

Computed properties:
The calculation puts the uncorrected formation energy at 482 meV per atom. For the electronic total energy, the calculation gives -64.50 eV for the cell shown. As for the size of the total moment: 0.000 μB/atom. The density of states at the Fermi level is 3.281 states/eV/cell. For the calculated volume, the calculation gives 124.9 Å³/cell.

***

Entry 8:
SiAg2W | PBE-GGA | optimized geometry

abc: 2.7592 3.0728 7.7458
angles: 90.00 90.00 90.00
With the nearest neighbours (Å) after each atom.
Space group Pmm2 (No. 25)
Symmetry-distinct sites (fractional):
Si 0.0000 0.0000 0.0000 (multiplicity 1)  4 W 2.60, 2 Si 2.76, 4 Ag 2.82
Ag 0.0000 0.0000 0.4758 (multiplicity 1)  8 Ag 2.76-3.07, 4 W 2.94
Ag 0.5000 0.5000 0.7529 (multiplicity 1)  8 Ag 2.76-3.07, 4 Si 2.82
W 0.5000 0.5000 0.2049 (multiplicity 1)  4 Si 2.60, 2 W 2.76

Computed properties:
The calculation puts the uncorrected formation energy at 352 meV per atom. For the electronic total energy, the calculation gives -22.67 eV for the cell shown. As for the size of the total moment: 0.000 μB/atom. The density of states at the Fermi level is 0.793 states/eV/cell. For the calculated volume, the calculation gives 65.7 Å³/cell.

***

Entry 9:
SiAg2W | PBE-GGA | optimized geometry

abc: 7.3071 7.3071 5.1711
angles: 90.00 90.00 90.00
With the nearest neighbours (Å) after each atom.
Space group I-42d (No. 122)
Symmetry-distinct sites (fractional):
Si 0.0000 0.0000 0.0000 (multiplicity 4)  4 Ag 2.49, 2 W 2.59
Ag 0.2146 0.2500 0.1250 (multiplicity 8)  2 Si 2.49, 2 Ag 2.64
W 0.0000 0.0000 0.5000 (multiplicity 4)  2 Si 2.59, 4 Ag 2.85

Computed properties:
The calculation puts the uncorrected formation energy at 811 meV per atom. For the electronic total energy, the calculation gives -83.35 eV for the cell shown. As for the size of the total moment: 0.000 μB/atom. The density of states at the Fermi level is 4.009 states/eV/cell. For the calculated volume, the calculation gives 276.1 Å³/cell.

***

Entry 10:
SiAgW2 | PBE-GGA | optimized geometry

abc: 3.3254 3.3254 5.7998
angles: 90.00 90.00 90.00
With the nearest neighbours (Å) after each atom.
Space group P4mm (No. 99)
Symmetry-distinct sites (fractional):
Si 0.0000 0.0000 0.0000 (multiplicity 1)  4 Ag 2.71, 5 W 2.75-2.79
Ag 0.5000 0.5000 0.7686 (multiplicity 1)  4 Si 2.71, 6 W 2.84-2.96
W 0.0000 0.0000 0.4745 (multiplicity 1)  4 W 2.66, 1 Si 2.75, 4 Ag 2.90
W 0.5000 0.5000 0.2584 (multiplicity 1)  4 W 2.66, 4 Si 2.79, 2 Ag 2.84-2.96

Computed properties:
The calculation puts the uncorrected formation energy at 402 meV per atom. For the electronic total energy, the calculation gives -32.57 eV for the cell shown. As for the size of the total moment: 0.000 μB/atom. The density of states at the Fermi level is 2.892 states/eV/cell. For the calculated volume, the calculation gives 64.1 Å³/cell.

***

Look up the size of the total moment of the second one. 0.000 μB/atom